Entry 1:
Material: Li2Mg3In2
Method: DFT, PBE-GGA
State: relaxed

a b c (Å): 4.6277 5.4236 6.4533
angles (deg): 89.56 89.58 66.25
Atoms (fractional coordinates):
Li1 0.1352 0.2323 0.4319
Li2 0.8648 0.7677 0.5681
Mg1 0.0000 0.5000 0.0000
Mg2 0.2912 0.9156 0.8403
Mg3 0.7088 0.0844 0.1597
In1 0.4136 0.6694 0.2942
In2 0.5864 0.3306 0.7058

The value obtained for the final energy is -15.164 eV per cell. The calculation puts the magnetization at 0.00 μB per atom. The formation energy from the elements comes out at -0.154 eV per atom. As for the excess energy over the best structure of this formula in the dataset: 0 meV/atom.

---

Entry 2:
Material: LiMg2In
Method: DFT, PBE-GGA
State: relaxed

a b c (Å): 6.0177 6.0177 3.0958
angles (deg): 103.00 103.00 118.81
Atoms (fractional coordinates):
Li1 0.0000 0.0000 0.0000
Mg1 0.0000 0.5000 0.5000
Mg2 0.5000 0.0000 0.5000
In1 0.5000 0.5000 0.0000

The value obtained for the final energy is -8.231 eV per cell. The calculation puts the magnetization at 0.00 μB per atom. The formation energy from the elements comes out at -0.097 eV per atom.

---

Entry 3:
Material: LiMg2In2
Method: DFT, PBE-GGA
State: relaxed

a b c (Å): 7.8249 7.8249 7.8249
angles (deg): 148.19 148.19 45.60
Atoms (fractional coordinates):
Li1 0.0000 0.0000 0.0000
Mg1 0.4004 0.4004 0.0000
Mg2 0.5996 0.5996 0.0000
In1 0.2500 0.7500 0.5000
In2 0.7500 0.2500 0.5000

The value obtained for the final energy is -10.228 eV per cell. The calculation puts the magnetization at 0.00 μB per atom. The formation energy from the elements comes out at 0.070 eV per atom. As for the excess energy over the best structure of this formula in the dataset: 139 meV/atom.

---

Entry 4:
Material: Li12Mg5In3
Method: DFT, PBE-GGA
State: relaxed

a b c (Å): 14.1830 14.1830 14.1830
angles (deg): 109.47 109.47 109.47
Atoms (fractional coordinates):
Li1 0.0726 0.6529 0.4194
Li2 0.0726 0.9197 0.6531
Li3 0.0803 0.2334 0.1529
Li4 0.0803 0.3469 0.9274
Li5 0.0806 0.7334 0.6531
Li6 0.0806 0.8471 0.4274
Li7 0.1529 0.0803 0.2334
Li8 0.1531 0.2334 0.5806
Li9 0.1531 0.4197 0.5726
Li10 0.1529 0.5726 0.9194
Li11 0.2334 0.1529 0.0803
Li12 0.2334 0.5806 0.1531
Li13 0.2666 0.3469 0.9194
Li14 0.2666 0.4197 0.3471
Li15 0.3471 0.2666 0.4197
Li16 0.3471 0.5806 0.9274
Li17 0.3469 0.9194 0.2666
Li18 0.3469 0.9274 0.0803
Li19 0.4194 0.0726 0.6529
Li20 0.4194 0.8469 0.7666
Li21 0.4197 0.3471 0.2666
Li22 0.4197 0.5726 0.1531
Li23 0.4274 0.0806 0.8471
Li24 0.4274 0.8469 0.5803
Li25 0.5726 0.1531 0.4197
Li26 0.5726 0.9194 0.1529
Li27 0.5803 0.4274 0.8469
Li28 0.5803 0.6529 0.7334
Li29 0.5806 0.1531 0.2334
Li30 0.5806 0.9274 0.3471
Li31 0.6531 0.0726 0.9197
Li32 0.6531 0.0806 0.7334
Li33 0.6529 0.4194 0.0726
Li34 0.6529 0.7334 0.5803
Li35 0.7334 0.5803 0.6529
Li36 0.7334 0.6531 0.0806
Li37 0.7666 0.4194 0.8469
Li38 0.7666 0.8471 0.9197
Li39 0.8471 0.4274 0.0806
Li40 0.8469 0.5803 0.4274
Li41 0.8469 0.7666 0.4194
Li42 0.8471 0.9197 0.7666
Li43 0.9194 0.1529 0.5726
Li44 0.9194 0.2666 0.3469
Li45 0.9197 0.6531 0.0726
Li46 0.9197 0.7666 0.8471
Li47 0.9274 0.0803 0.3469
Li48 0.9274 0.3471 0.5806
Mg1 0.0000 0.0000 0.0000
Mg2 0.0000 0.0000 0.5000
Mg3 0.0000 0.5000 0.0000
Mg4 0.0000 0.5000 0.5000
Mg5 0.1250 0.7500 0.8750
Mg6 0.1250 0.8750 0.2500
Mg7 0.2500 0.1250 0.8750
Mg8 0.2500 0.6250 0.3750
Mg9 0.3750 0.2500 0.6250
Mg10 0.3750 0.6250 0.7500
Mg11 0.5000 0.0000 0.0000
Mg12 0.5000 0.0000 0.5000
Mg13 0.5000 0.5000 0.0000
Mg14 0.5000 0.5000 0.5000
Mg15 0.6250 0.3750 0.2500
Mg16 0.6250 0.7500 0.3750
Mg17 0.7500 0.3750 0.6250
Mg18 0.7500 0.8750 0.1250
Mg19 0.8750 0.1250 0.7500
Mg20 0.8750 0.2500 0.1250
In1 0.1250 0.2500 0.3750
In2 0.1250 0.3750 0.7500
In3 0.2500 0.3750 0.1250
In4 0.2500 0.8750 0.6250
In5 0.3750 0.1250 0.2500
In6 0.3750 0.7500 0.1250
In7 0.6250 0.2500 0.8750
In8 0.6250 0.8750 0.7500
In9 0.7500 0.1250 0.3750
In10 0.7500 0.6250 0.8750
In11 0.8750 0.6250 0.2500
In12 0.8750 0.7500 0.6250

The value obtained for the final energy is -135.997 eV per cell. The calculation puts the magnetization at 0.00 μB per atom. The formation energy from the elements comes out at 0.258 eV per atom.

---

Entry 5:
Material: Li3Mg2In5
Method: DFT, PBE-GGA
State: relaxed

a b c (Å): 9.4928 9.4928 9.4928
angles (deg): 106.27 85.15 143.56
Atoms (fractional coordinates):
Li1 0.1441 0.6490 0.7931
Li2 0.2500 0.2500 0.0000
Li3 0.3559 0.1490 0.5048
Li4 0.6441 0.8510 0.4952
Li5 0.7500 0.7500 0.0000
Li6 0.8559 0.3510 0.2069
Mg1 0.2040 0.3815 0.5855
Mg2 0.2960 0.8815 0.1775
Mg3 0.7040 0.1185 0.8225
Mg4 0.7960 0.6185 0.4145
In1 0.1656 0.1039 0.2694
In2 0.2500 0.0144 0.7644
In3 0.2500 0.4856 0.2356
In4 0.2500 0.7500 0.5000
In5 0.3344 0.6039 0.9383
In6 0.6656 0.3961 0.0617
In7 0.7500 0.2500 0.5000
In8 0.7500 0.5144 0.7644
In9 0.7500 0.9856 0.2356
In10 0.8344 0.8961 0.7306

The value obtained for the final energy is -45.913 eV per cell. The calculation puts the magnetization at 0.00 μB per atom. The formation energy from the elements comes out at -0.033 eV per atom.

---

Entry 6:
Material: Li14MgIn
Method: DFT, PBE-GGA
State: relaxed

a b c (Å): 9.7529 5.8610 5.8610
angles (deg): 69.14 90.00 90.00
Atoms (fractional coordinates):
Li1 0.0000 0.0000 0.0000
Li2 0.0000 0.4934 0.4934
Li3 0.0000 0.5004 0.9887
Li4 0.0000 0.9887 0.5004
Li5 0.2507 0.2096 0.7138
Li6 0.2507 0.7138 0.2096
Li7 0.2561 0.2191 0.2191
Li8 0.2596 0.7040 0.7040
Li9 0.5000 0.4549 0.9628
Li10 0.5000 0.9628 0.4549
Li11 0.7404 0.7040 0.7040
Li12 0.7439 0.2191 0.2191
Li13 0.7493 0.2096 0.7138
Li14 0.7493 0.7138 0.2096
Mg1 0.5000 0.9566 0.9566
In1 0.5000 0.4604 0.4604

The value obtained for the final energy is -32.087 eV per cell. The calculation puts the magnetization at 0.00 μB per atom. The formation energy from the elements comes out at -0.060 eV per atom.

---

Entry 7:
Material: Li7Mg12In
Method: DFT, PBE-GGA
State: relaxed

a b c (Å): 7.6962 7.6962 7.6962
angles (deg): 89.45 89.45 89.45
Atoms (fractional coordinates):
Li1 0.0000 0.0000 0.0000
Li2 0.1258 0.4540 0.3547
Li3 0.3547 0.1258 0.4540
Li4 0.4540 0.3547 0.1258
Li5 0.5460 0.6453 0.8742
Li6 0.6453 0.8742 0.5460
Li7 0.8742 0.5460 0.6453
Mg1 0.0055 0.8974 0.3383
Mg2 0.1026 0.6617 0.9945
Mg3 0.2284 0.7587 0.6229
Mg4 0.2413 0.3771 0.7716
Mg5 0.3383 0.0055 0.8974
Mg6 0.3771 0.7716 0.2413
Mg7 0.6229 0.2284 0.7587
Mg8 0.6617 0.9945 0.1026
Mg9 0.7587 0.6229 0.2284
Mg10 0.7716 0.2413 0.3771
Mg11 0.8974 0.3383 0.0055
Mg12 0.9945 0.1026 0.6617
In1 0.5000 0.5000 0.5000

The value obtained for the final energy is -35.068 eV per cell. The calculation puts the magnetization at 0.00 μB per atom. The formation energy from the elements comes out at 0.010 eV per atom.

---

Entry 8:
Material: LiMg5In3
Method: DFT, PBE-GGA
State: relaxed

a b c (Å): 8.7011 8.7011 6.2817
angles (deg): 90.00 90.00 120.00
Atoms (fractional coordinates):
Li1 0.0000 0.0000 0.0000
Li2 0.0000 0.0000 0.5000
Mg1 0.0000 0.3300 0.2500
Mg2 0.0000 0.6700 0.7500
Mg3 0.3300 0.0000 0.2500
Mg4 0.3300 0.3300 0.7500
Mg5 0.3333 0.6667 0.0000
Mg6 0.3333 0.6667 0.5000
Mg7 0.6667 0.3333 0.0000
Mg8 0.6667 0.3333 0.5000
Mg9 0.6700 0.0000 0.7500
Mg10 0.6700 0.6700 0.2500
In1 0.0000 0.3357 0.7500
In2 0.0000 0.6643 0.2500
In3 0.3357 0.0000 0.7500
In4 0.3357 0.3357 0.2500
In5 0.6643 0.0000 0.2500
In6 0.6643 0.6643 0.7500

The value obtained for the final energy is -37.852 eV per cell. The calculation puts the magnetization at 0.00 μB per atom. The formation energy from the elements comes out at -0.092 eV per atom. As for the excess energy over the best structure of this formula in the dataset: 0 meV/atom.